## Th2ScRh (GGA-PBE)

Data for an optimized crystal structure of Th2ScRh.

Cell: 3.698 3.698 7.536 Å, 90.00 90.00 90.00°
Space group P4/mmm (No. 123)
Unique sites:
Th  0.000  0.000  0.215
Sc  0.500  0.500  0.500
Rh  0.500  0.500  0.000

Computed properties:
The value obtained for the total magnetization is 0.0 μB per formula unit. For the excess energy over the best structure of this formula in the dataset, the calculation gives 106 meV per atom. The energy of formation comes out at -308 meV/atom. The calculation puts the density of states at the Fermi level at 5.5 states/eV per cell.

***

## CrTcIr2 (GGA-PBE)

Data for an optimized crystal structure of CrTcIr2.

Cell: 9.011 2.706 4.652 Å, 90.00 100.16 90.00°
Space group C2/m (No. 12)
Unique sites:
Cr  0.000  0.000  0.000
Tc  0.000  0.500  0.500
Ir  0.248  0.500  0.246

Computed properties:
The value obtained for the total magnetization is 1.0 μB per formula unit. For the excess energy over the best structure of this formula in the dataset, the calculation gives 167 meV per atom. The energy of formation comes out at -91 meV/atom. The calculation puts the density of states at the Fermi level at 8.8 states/eV per cell.

***

## Ho2MnP3Rh4 (GGA-PBE)

Data for an optimized crystal structure of Ho2MnP3Rh4.

Cell: 3.992 3.992 10.150 Å, 90.00 90.00 90.00°
Space group P-4m2 (No. 115)
Unique sites:
Ho  0.000  0.500  0.247
Mn  0.000  0.000  0.500
P  0.000  0.500  0.863
P  0.500  0.500  0.500
Rh  0.000  0.000  0.000
Rh  0.000  0.500  0.639
Rh  0.500  0.500  0.000

Computed properties:
The value obtained for the total magnetization is 3.4 μB per formula unit. The energy of formation comes out at -963 meV/atom. The calculation puts the density of states at the Fermi level at 6.0 states/eV per cell.

***

## Si2As (GGA-PBE)

Data for an optimized crystal structure of Si2As.

Cell: 4.1070 4.1070 3.5473 Å, 90.00 90.00 120.00°
Space group P6/mmm (No. 191)
Unique sites:
Si  0.3333  0.6667  0.0000
As  0.0000  0.0000  0.5000

Computed properties:
The value obtained for the total magnetization is 0.0 μB per formula unit. The energy relative to the elements, uncorrected is 0.5115 eV per atom. For the excess energy over the best structure of this formula in the dataset, the calculation gives 352 meV per atom. The calculation puts the density of states at the Fermi level at 1.5 states/eV per cell.

***

## Cd3BiPb12 (GGA-PBE)

Data for an optimized crystal structure of Cd3BiPb12.

Cell: 5.886 5.886 14.143 Å, 90.00 90.00 90.00°
Space group P4/mmm (No. 123)
Unique sites:
Cd  0.000  0.000  0.000
Cd  0.000  0.000  0.239
Bi  0.000  0.000  0.500
Pb  0.000  0.500  0.126
Pb  0.000  0.500  0.374
Pb  0.500  0.500  0.000
Pb  0.500  0.500  0.252
Pb  0.500  0.500  0.500

Computed properties:
The value obtained for the total magnetization is 0.0 μB per formula unit. The energy of formation comes out at 74 meV/atom. The calculation puts the density of states at the Fermi level at 11.2 states/eV per cell.

***

## SrEu3N (GGA-PBE)

Data for an optimized crystal structure of SrEu3N.

Cell: 5.350 5.350 5.350 Å, 90.00 90.00 90.00°
Space group Pm-3m (No. 221)
Unique sites:
Sr  0.000  0.000  0.000
Eu  0.000  0.500  0.500
N  0.500  0.500  0.500

Computed properties:
The value obtained for the total magnetization is 22.3 μB per formula unit. The energy relative to the elements, uncorrected is -0.2375 eV per atom. The calculation puts the density of states at the Fermi level at 6.5 states/eV per cell.

***

## MoAu2 (GGA-PBE)

Data for an optimized crystal structure of MoAu2.

Cell: 4.6197 4.6197 5.6978 Å, 90.00 90.00 120.00°
Space group P6_3/mmc (No. 194)
Unique sites:
Mo  0.3333  0.6667  0.2500
Au  0.0000  0.0000  0.0000
Au  0.3333  0.6667  0.7500

Computed properties:
The value obtained for the total magnetization is 0.8 μB per formula unit. The energy of formation comes out at 534 meV/atom. The calculation puts the density of states at the Fermi level at 7.4 states/eV per cell.

***

## In2HPtI (GGA-PBE)

Data for an optimized crystal structure of In2HPtI.

Cell: 5.486 5.486 3.763 Å, 90.00 90.00 90.00°
Space group P4/mmm (No. 123)
Unique sites:
In  0.000  0.500  0.000
H  0.000  0.000  0.500
Pt  0.000  0.000  0.000
I  0.500  0.500  0.500

Computed properties:
The value obtained for the total magnetization is 0.0 μB per formula unit. The calculation puts the total energy at -3.499 eV per atom. The calculation puts the density of states at the Fermi level at 0.8 states/eV per cell.

***

## CePmTlIn (GGA-PBE)

Data for an optimized crystal structure of CePmTlIn.

Cell: 4.532 5.031 5.032 Å, 90.00 90.00 90.00°
Space group Pmmm (No. 47)
Unique sites:
Ce  0.000  0.000  0.000
Pm  0.000  0.500  0.500
Tl  0.500  0.000  0.500
In  0.500  0.500  0.000

Computed properties:
The value obtained for the total magnetization is 1.5 μB per formula unit. For the excess energy over the best structure of this formula in the dataset, the calculation gives 2 meV per atom. The energy of formation comes out at -343 meV/atom. The calculation puts the density of states at the Fermi level at 9.1 states/eV per cell.

***

## Zn2Ga4Ag5 (GGA-PBE)

Data for an optimized crystal structure of Zn2Ga4Ag5.

Cell: 19.135 2.987 6.713 Å, 90.00 94.38 90.00°
Space group C2/m (No. 12)
Unique sites:
Zn  0.086  0.000  0.185
Ga  0.046  0.500  0.839
Ga  0.230  0.000  0.324
Ag  0.000  0.000  0.500
Ag  0.133  0.500  0.529
Ag  0.182  0.500  0.975

Computed properties:
The value obtained for the total magnetization is 0.0 μB per formula unit. For the excess energy over the best structure of this formula in the dataset, the calculation gives 0 meV per atom. The energy of formation comes out at 5 meV/atom. The calculation puts the density of states at the Fermi level at 6.1 states/eV per cell.

***

## Ac2CeErP4 (GGA-PBE)

Data for an optimized crystal structure of Ac2CeErP4.

Cell: 7.312 4.234 7.361 Å, 90.00 109.36 90.00°
Space group P2/m (No. 10)
Unique sites:
Ac  0.000  0.000  0.000
Ac  0.500  0.500  0.000
Ce  0.000  0.500  0.500
Er  0.500  0.000  0.500
P  0.244  0.000  0.725
P  0.260  0.500  0.275

Computed properties:
The value obtained for the total magnetization is 0.5 μB per formula unit. The energy of formation comes out at -1471 meV/atom. The calculation puts the density of states at the Fermi level at 5.8 states/eV per cell.

***

## KLa2GaCo (GGA-PBE)

Data for an optimized crystal structure of KLa2GaCo.

Cell: 5.439 5.439 4.898 Å, 90.00 90.00 90.00°
Space group P4/mmm (No. 123)
Unique sites:
K  0.000  0.000  0.000
La  0.000  0.500  0.500
Ga  0.500  0.500  0.000
Co  0.500  0.500  0.500

Computed properties:
The value obtained for the total magnetization is 0.0 μB per formula unit. The energy of formation comes out at -33 meV/atom. The calculation puts the density of states at the Fermi level at 4.7 states/eV per cell.

***

## AlAs2BrF (GGA-PBE)

Data for an optimized crystal structure of AlAs2BrF.

Cell: 4.339 4.339 5.904 Å, 90.00 90.00 90.00°
Space group P4/mmm (No. 123)
Unique sites:
Al  0.000  0.000  0.000
As  0.000  0.500  0.500
Br  0.500  0.500  0.000
F  0.500  0.500  0.500

Computed properties:
The value obtained for the total magnetization is 0.0 μB per formula unit. The energy relative to the elements, uncorrected is 0.1894 eV per atom. For the excess energy over the best structure of this formula in the dataset, the calculation gives 39 meV per atom. The calculation puts the density of states at the Fermi level at 4.4 states/eV per cell.

***

## V2CrBr8 (GGA-PBE)

Data for an optimized crystal structure of V2CrBr8.

Cell: 12.389 10.173 6.589 Å, 90.00 92.12 90.00°
Space group C2/m (No. 12)
Unique sites:
V  0.203  0.000  0.142
Cr  0.000  0.000  0.500
Br  0.093  0.173  0.289
Br  0.117  0.500  0.742
Br  0.189  0.000  0.781

Computed properties:
The value obtained for the total magnetization is 8.0 μB per formula unit. The energy relative to the elements, uncorrected is -0.7141 eV per atom.

***

## HoMnVSi2 (GGA-PBE)

Data for an optimized crystal structure of HoMnVSi2.

Cell: 3.879 3.879 10.712 Å, 90.00 90.00 90.00°
Space group I-4m2 (No. 119)
Unique sites:
Ho  0.000  0.000  0.000
Mn  0.000  0.500  0.750
V  0.000  0.500  0.250
Si  0.000  0.000  0.387

Computed properties:
The value obtained for the total magnetization is 0.8 μB per formula unit. The energy relative to the elements, uncorrected is -0.5926 eV per atom. The calculation puts the density of states at the Fermi level at 4.9 states/eV per cell.

***

## La2Dy4Cd (GGA-PBE)

Data for an optimized crystal structure of La2Dy4Cd.

Cell: 6.001 6.629 11.522 Å, 90.00 104.09 90.00°
Space group P2_1/m (No. 11)
Unique sites:
La  0.079  0.250  0.483
La  0.343  0.750  0.067
Dy  0.153  0.006  0.787
Dy  0.213  0.250  0.072
Dy  0.373  0.750  0.371
Cd  0.499  0.750  0.660

Computed properties:
The value obtained for the total magnetization is 0.0 μB per formula unit. The energy of formation comes out at 31 meV/atom. The calculation puts the density of states at the Fermi level at 21.4 states/eV per cell.

***

## Pm4Cu3Sb8 (GGA-PBE)

Data for an optimized crystal structure of Pm4Cu3Sb8.

Cell: 4.380 4.380 19.651 Å, 90.00 90.00 90.00°
Space group P-4m2 (No. 115)
Unique sites:
Pm  0.000  0.500  0.117
Pm  0.000  0.500  0.627
Cu  0.000  0.000  0.000
Cu  0.000  0.000  0.500
Cu  0.500  0.500  0.500
Sb  0.000  0.000  0.245
Sb  0.000  0.500  0.421
Sb  0.000  0.500  0.932
Sb  0.500  0.500  0.245

Computed properties:
The value obtained for the total magnetization is 0.0 μB per formula unit. The energy relative to the elements, uncorrected is -0.6987 eV per atom. The calculation puts the density of states at the Fermi level at 3.7 states/eV per cell.

***

## PaPPd (GGA-PBE)

Data for an optimized crystal structure of PaPPd.

Cell: 6.312 6.312 6.312 Å, 90.00 90.00 90.00°
Space group F-43m (No. 216)
Unique sites:
Pa  0.000  0.000  0.000
P  0.250  0.250  0.250
Pd  0.000  0.000  0.500

Computed properties:
The value obtained for the total magnetization is 0.0 μB per formula unit. The energy of formation comes out at -585 meV/atom. The calculation puts the density of states at the Fermi level at 19.2 states/eV per cell.

***

## La3PrEr6 (GGA-PBE)

Data for an optimized crystal structure of La3PrEr6.

Cell: 11.471 12.577 9.620 Å, 90.00 90.00 90.00°
Space group Cmc2_1 (No. 36)
Unique sites:
La  0.000  0.126  0.000
La  0.185  0.368  0.870
Pr  0.000  0.142  0.358
Er  0.000  0.249  0.680
Er  0.000  0.447  0.180
Er  0.172  0.374  0.482
Er  0.185  0.069  0.681

Computed properties:
The value obtained for the total magnetization is 0.0 μB per formula unit. The energy of formation comes out at 199 meV/atom. The calculation puts the density of states at the Fermi level at 57.4 states/eV per cell.

***

## Rb3SmTh2Se6 (GGA-PBE)

Data for an optimized crystal structure of Rb3SmTh2Se6.

Cell: 7.427 12.863 8.489 Å, 90.00 106.95 90.00°
Space group C2/m (No. 12)
Unique sites:
Rb  0.000  0.000  0.000
Rb  0.000  0.334  0.000
Sm  0.000  0.500  0.500
Th  0.000  0.167  0.500
Se  0.233  0.000  0.705
Se  0.236  0.332  0.705

Computed properties:
The value obtained for the total magnetization is 0.0 μB per formula unit. The energy relative to the elements, uncorrected is -1.5916 eV per atom. The calculation puts the density of states at the Fermi level at 14.6 states/eV per cell.

***

## Ac2LaSm3 (GGA-PBE)

Data for an optimized crystal structure of Ac2LaSm3.

Cell: 21.227 3.813 13.233 Å, 90.00 121.42 90.00°
Space group C2/m (No. 12)
Unique sites:
Ac  0.248  0.000  0.122
Ac  0.249  0.000  0.625
La  0.081  0.000  0.651
Sm  0.079  0.500  0.901
Sm  0.080  0.000  0.149
Sm  0.082  0.500  0.397

Computed properties:
The value obtained for the total magnetization is 0.0 μB per formula unit. The energy of formation comes out at 26 meV/atom. The calculation puts the density of states at the Fermi level at 37.9 states/eV per cell.

***

## CaGeC2 (GGA-PBE)

Data for an optimized crystal structure of CaGeC2.

Cell: 5.935 5.935 5.935 Å, 90.00 90.00 90.00°
Space group Fm-3m (No. 225)
Unique sites:
Ca  0.000  0.000  0.000
Ge  0.000  0.000  0.500
C  0.250  0.250  0.250

Computed properties:
The value obtained for the total magnetization is 0.0 μB per formula unit. For the excess energy over the best structure of this formula in the dataset, the calculation gives 610 meV per atom. The energy of formation comes out at 1557 meV/atom. The calculation puts the density of states at the Fermi level at 8.0 states/eV per cell.

***

## PaCo2Ge (GGA-PBE)

Data for an optimized crystal structure of PaCo2Ge.

Cell: 4.145 10.386 6.364 Å, 90.00 90.00 90.00°
Space group Cmcm (No. 63)
Unique sites:
Pa  0.000  0.076  0.250
Co  0.000  0.191  0.551
Ge  0.000  0.370  0.250

Computed properties:
The value obtained for the total magnetization is 0.0 μB per formula unit. For the excess energy over the best structure of this formula in the dataset, the calculation gives 185 meV per atom. The energy of formation comes out at -333 meV/atom. The calculation puts the density of states at the Fermi level at 13.9 states/eV per cell.

***

## CeMg3Sc2 (GGA-PBE)

Data for an optimized crystal structure of CeMg3Sc2.

Cell: 3.235 3.235 13.954 Å, 90.00 90.00 90.00°
Space group P4/mmm (No. 123)
Unique sites:
Ce  0.000  0.000  0.000
Mg  0.500  0.500  0.182
Mg  0.500  0.500  0.500
Sc  0.000  0.000  0.341

Computed properties:
The value obtained for the total magnetization is 1.1 μB per formula unit. The energy of formation comes out at 1 meV/atom. The calculation puts the density of states at the Fermi level at 9.7 states/eV per cell.